Entry from the Alexandria database: a relaxed structure of Pm2SnPt2 (GGA-PBE).

Cell and atoms, written as POSCAR:
```
Pm2SnPt2
1.0
7.879 0.000 0.000
0.000 7.879 0.000
0.000 0.000 3.804
Pm Sn Pt
4 2 4
direct
0.173 0.327 0.000
0.327 0.827 0.000
0.673 0.173 0.000
0.827 0.673 0.000
0.000 0.000 0.500
0.500 0.500 0.500
0.128 0.628 0.500
0.372 0.128 0.500
0.628 0.872 0.500
0.872 0.372 0.500
```

Symmetry: P4/mbm
Total magnetization (μB/atom): 0.000
Energy of formation from the pure elements (eV per atom): -1.0819

***

Entry from the Alexandria database: a relaxed structure of Pr2InBi3 (GGA-PBE).

Cell and atoms, written as POSCAR:
```
Pr2InBi3
1.0
-2.307 3.209 7.200
2.307 -3.209 7.200
2.307 3.209 -7.200
Pr In Bi
2 1 3
direct
0.165 0.165 0.000
0.835 0.835 0.000
0.500 0.500 0.000
0.000 0.500 0.500
0.329 0.829 0.500
0.671 0.171 0.500
```

Symmetry: Immm
Total magnetization (μB/atom): 0.000
Energy of formation from the pure elements (eV per atom): -0.4681

***

Entry from the Alexandria database: a relaxed structure of Sc4Cu3Ni2 (GGA-PBE).

Cell and atoms, written as POSCAR:
```
Sc4Cu3Ni2
1.0
4.407 0.000 0.000
-2.203 3.816 0.000
0.000 0.000 8.657
Sc Cu Ni
4 3 2
direct
0.000 0.000 0.169
0.000 0.000 0.831
0.333 0.667 0.385
0.667 0.333 0.615
0.000 0.000 0.500
0.333 0.667 0.995
0.667 0.333 0.005
0.333 0.667 0.693
0.667 0.333 0.307
```

Symmetry: P-3m1
Total magnetization (μB/atom): 0.000
Energy of formation from the pure elements (eV per atom): -0.3159

***

Entry from the Alexandria database: a relaxed structure of VZnAs2Ru (GGA-PBE).

Cell and atoms, written as POSCAR:
```
VZnAs2Ru
1.0
4.661 0.000 0.000
0.000 4.661 0.000
0.000 0.000 4.558
V Zn As Ru
1 1 2 1
direct
0.000 0.000 0.000
0.500 0.500 0.500
0.000 0.500 0.000
0.500 0.000 0.000
0.000 0.000 0.500
```

Symmetry: P4/mmm
Total magnetization (μB/atom): 0.000
Energy of formation from the pure elements (eV per atom): 0.6924

***

Entry from the Alexandria database: a relaxed structure of BaSbSe (GGA-PBE).

Cell and atoms, written as POSCAR:
```
BaSbSe
1.0
0.000 3.906 3.906
3.906 0.000 3.906
3.906 3.906 0.000
Ba Sb Se
1 1 1
direct
0.000 0.000 0.000
0.750 0.750 0.750
0.250 0.250 0.250
```

Formation energy without anion corrections (eV/atom): -0.36
Symmetry: F-43m
Total magnetization (μB/atom): 0.000

***

Entry from the Alexandria database: a relaxed structure of Ce4Ni2Pb (GGA-PBE).

Cell and atoms, written as POSCAR:
```
Ce4Ni2Pb
1.0
2.430 1.403 8.334
-2.430 1.403 8.334
0.000 -2.806 8.334
Ce Ni Pb
4 2 1
direct
0.101 0.101 0.101
0.284 0.284 0.284
0.716 0.716 0.716
0.899 0.899 0.899
0.389 0.389 0.389
0.611 0.611 0.611
0.500 0.500 0.500
```

Symmetry: R-3m
Total magnetization (μB/atom): 0.211
Energy of formation from the pure elements (eV per atom): -0.1140

***

Entry from the Alexandria database: a relaxed structure of Ac3Al3Ge8 (GGA-PBE).

Cell and atoms, written as POSCAR:
```
Ac3Al3Ge8
1.0
8.586 -2.293 0.000
8.586 2.293 0.000
-4.270 0.000 8.299
Ac Al Ge
3 3 8
direct
0.000 0.000 0.000
0.298 0.298 0.334
0.702 0.702 0.666
0.000 0.000 0.500
0.341 0.341 0.994
0.659 0.659 0.006
0.113 0.113 0.382
0.161 0.161 0.878
0.353 0.353 0.730
0.494 0.494 0.287
0.506 0.506 0.713
0.647 0.647 0.270
0.839 0.839 0.122
0.887 0.887 0.618
```

Symmetry: C2/m
Total magnetization (μB/atom): 0.000
Energy of formation from the pure elements (eV per atom): -0.3420

***

Entry from the Alexandria database: a relaxed structure of InSOF2 (GGA-PBE).

Cell and atoms, written as POSCAR:
```
InSOF2
1.0
4.298 0.000 0.000
0.000 4.298 0.000
0.000 0.000 4.236
In S O F
1 1 1 2
direct
0.000 0.000 0.000
0.500 0.500 0.500
0.000 0.000 0.500
0.000 0.500 0.000
0.500 0.000 0.000
```

Formation energy without anion corrections (eV/atom): -0.87
Symmetry: P4/mmm
Total magnetization (μB/atom): 0.600
ΔE to the lowest computed polymorph (meV per atom): 0.0

***

Entry from the Alexandria database: a relaxed structure of KBa2InH (GGA-PBE).

Cell and atoms, written as POSCAR:
```
KBa2InH
1.0
5.792 0.000 0.000
0.000 5.792 0.000
0.000 0.000 5.212
K Ba In H
1 2 1 1
direct
0.000 0.000 0.000
0.000 0.500 0.500
0.500 0.000 0.500
0.500 0.500 0.000
0.000 0.000 0.500
```

Symmetry: P4/mmm
Total magnetization (μB/atom): 0.000
Electronic total energy (eV/atom): -2.4321

***

Entry from the Alexandria database: a relaxed structure of SrZn2Si (GGA-PBE).

Cell and atoms, written as POSCAR:
```
SrZn2Si
1.0
3.668 -2.117 0.000
3.668 2.117 0.000
-2.437 0.000 5.781
Sr Zn Si
1 2 1
direct
0.000 0.000 0.000
0.211 0.211 0.633
0.486 0.486 0.458
0.790 0.790 0.372
```

Formation energy without anion corrections (eV/atom): -0.20
Symmetry: Cm
Total magnetization (μB/atom): 0.000

***

Entry from the Alexandria database: a relaxed structure of Er5PdSe4 (GGA-PBE).

Cell and atoms, written as POSCAR:
```
Er5PdSe4
1.0
6.844 -1.987 0.000
6.844 1.987 0.000
-5.062 0.000 8.709
Er Pd Se
5 1 4
direct
0.000 0.000 0.000
0.195 0.195 0.793
0.407 0.407 0.596
0.593 0.593 0.404
0.805 0.805 0.207
0.000 0.000 0.500
0.196 0.196 0.299
0.396 0.396 0.091
0.604 0.604 0.909
0.804 0.804 0.701
```

Formation energy without anion corrections (eV/atom): -1.54
Symmetry: C2/m
Total magnetization (μB/atom): 0.000

***

Entry from the Alexandria database: a relaxed structure of Pr3Dy6Sc (GGA-PBE).

Cell and atoms, written as POSCAR:
```
Pr3Dy6Sc
1.0
4.593 -4.198 0.000
4.593 4.198 0.000
-1.685 0.000 8.824
Pr Dy Sc
3 6 1
direct
0.000 0.000 0.000
0.219 0.219 0.750
0.781 0.781 0.250
0.066 0.696 0.639
0.304 0.934 0.361
0.385 0.385 0.141
0.615 0.615 0.859
0.696 0.066 0.639
0.934 0.304 0.361
0.500 0.500 0.500
```

Symmetry: C2/m
Total magnetization (μB/atom): 0.000
ΔE to the lowest computed polymorph (meV per atom): 133.1
Energy of formation from the pure elements (eV per atom): 0.2814